This record from Alexandria via LeMat-Bulk describes an optimized crystal structure of YEr3Rh2. The functional is GGA-PBE.

extended XYZ file:
```
12
Lattice="-3.332 6.749 3.512 3.332 -6.749 3.512 3.332 6.749 -3.512" Properties=species:S:1:pos:R:3 pbc="T T T"
Y 0.000 0.000 0.000
Y 0.000 0.000 3.512
Er 3.332 3.610 -1.756
Er 3.332 0.000 1.756
Er 0.000 3.139 1.756
Er 3.332 3.610 1.756
Er 0.000 6.749 1.756
Er 0.000 3.139 5.268
Rh 4.728 1.879 0.000
Rh 1.396 4.870 0.000
Rh 1.936 1.879 3.512
Rh -1.396 4.870 3.512
```

Its volume is 26.32 Å³/atom. Its size of the total moment is 0.0 μB per cell. The energy relative to the elements comes out at -3.5 eV/f.u. Its space-group type is Ibam, No. 72. The total DFT energy (no corrections) is -6.399 eV per atom.


This record from Alexandria via LeMat-Bulk describes an optimized crystal structure of YEr2Rh. The functional is GGA-PBE.

extended XYZ file:
```
8
Lattice="1.911 -5.933 0.000 1.911 5.933 0.000 0.000 0.000 9.240" Properties=species:S:1:pos:R:3 pbc="T T T"
Y 1.911 5.071 6.930
Y 1.911 -5.071 2.310
Er 1.911 1.657 5.234
Er 1.911 1.657 8.625
Er 1.911 -1.657 0.615
Er 1.911 -1.657 4.005
Rh 1.911 3.037 2.310
Rh 1.911 -3.037 6.930
```

Its volume is 26.19 Å³/atom. Its size of the total moment is 0.0 μB per cell. The energy relative to the elements comes out at -2.1 eV/f.u. Its space-group type is Cmcm, No. 63. The total DFT energy (no corrections) is -6.250 eV per atom.


This record from Alexandria via LeMat-Bulk describes an optimized crystal structure of Y2Er3Rh2. The functional is GGA-PBE.

extended XYZ file:
```
7
Lattice="5.971 -1.899 0.000 5.971 1.899 0.000 -3.954 0.000 7.929" Properties=species:S:1:pos:R:3 pbc="T T T"
Y 0.752 0.000 2.429
Y 7.236 0.000 5.500
Er 4.301 0.000 0.545
Er 3.994 0.000 3.965
Er 3.687 0.000 7.385
Rh -0.848 0.000 5.866
Rh 8.836 0.000 2.063
```

Its volume is 25.68 Å³/atom. Its size of the total moment is 0.0 μB per cell. The energy relative to the elements comes out at -4.2 eV/f.u. Its space-group type is C2/m, No. 12. The total DFT energy (no corrections) is -6.504 eV per atom.